Entry 1:
Density functional theory data (PBE-GGA) for an optimized crystal structure of Dy2Tm2InGe4Pd2.

Output
Symmetry ... C2/m

Cell: 8.2000 8.2000 7.0916 Å, 107.33 107.33 30.15°
Closest atoms and distances in Å follow each position.
Fractional coordinates of all 11 atoms:
Dy 0.0884 0.0884 0.3845  6 Ge 3.03-3.12, 3 Pd 3.13-3.14
Dy 0.9116 0.9116 0.6155  6 Ge 3.03-3.12, 3 Pd 3.13-3.14
Tm 0.1569 0.1569 0.9257  5 Ge 2.93-3.02, 3 Pd 3.09-3.26
Tm 0.8431 0.8431 0.0743  5 Ge 2.93-3.02, 3 Pd 3.09-3.26
In 0.5000 0.5000 0.0000  4 Ge 2.83-3.00
Ge 0.3079 0.3079 0.7577  3 Pd 2.56-2.75
Ge 0.4394 0.4394 0.3363  1 Ge 2.52, 1 Pd 2.53
Ge 0.5606 0.5606 0.6637  1 Ge 2.52, 1 Pd 2.53
Ge 0.6921 0.6921 0.2423  3 Pd 2.56-2.75
Pd 0.2827 0.2827 0.3558  4 Ge 2.53-2.75
Pd 0.7173 0.7173 0.6442  4 Ge 2.53-2.75

=====

Entry 2:
Density functional theory data (PBE-GGA) for an optimized crystal structure of DyYSe2F2.

Output
Symmetry ... P4mm

Cell: 3.8486 3.8486 7.0256 Å, 90.00 90.00 90.00°
Closest atoms and distances in Å follow each position.
Fractional coordinates of all 6 atoms:
Dy 0.0000 0.0000 0.0000  4 F 2.44
Y 0.5000 0.5000 0.5668  4 F 2.46
Se 0.0000 0.0000 0.4245  4 Y 2.90, 1 Dy 2.98, 4 F 3.18
Se 0.5000 0.5000 0.1432  4 Dy 2.90, 1 Y 2.98, 4 F 3.17
F 0.0000 0.5000 0.7854  2 Dy 2.44, 2 Y 2.46, 4 F 2.72
F 0.5000 0.0000 0.7854  2 Dy 2.44, 2 Y 2.46, 4 F 2.72

=====

Entry 3:
Density functional theory data (PBE-GGA) for an optimized crystal structure of TbPrBe2Si2.

Output
Symmetry ... P-3m1

Cell: 3.9214 3.9214 8.3623 Å, 90.00 90.00 120.00°
Closest atoms and distances in Å follow each position.
Fractional coordinates of all 6 atoms:
Tb 0.0000 0.0000 0.0000  6 Si 3.02, 6 Be 3.03
Pr 0.0000 0.0000 0.5000  6 Be 3.13, 6 Si 3.14
Be 0.3333 0.6667 0.7585  3 Si 2.26
Be 0.6667 0.3333 0.2415  3 Si 2.26
Si 0.3333 0.6667 0.2395  3 Be 2.26
Si 0.6667 0.3333 0.7605  3 Be 2.26

=====

no.,V (Å³ per atom),electronic total energy (eV per atom)
1,20.71,-5.387
2,17.34,-6.483
3,18.56,-5.237